(1)
This record from Alexandria via LeMat-Bulk describes CeHo4Te5 after structural relaxation. The functional is PBE.

Computed properties:
* density of states at the Fermi level: 11.02 states/eV per cell
* magnetization: 1.33 μB per formula unit
* space group: No. 12

abc: 4.339 7.623 9.742
angles: 74.90 77.13 73.46
Fractional positions:
Ce  0.000  0.000  0.000
Ho  0.597  0.200  0.607
Ho  0.203  0.393  0.200
Ho  0.797  0.607  0.800
Ho  0.403  0.800  0.393
Te  0.205  0.900  0.691
Te  0.795  0.100  0.309
Te  0.395  0.314  0.897
Te  0.000  0.500  0.500
Te  0.605  0.686  0.103



(2)
This record from Alexandria via LeMat-Bulk describes Tl2CrMo after structural relaxation. The functional is PBE.

Computed properties:
* formation enthalpy at 0 K: 0.812 eV/atom
* density of states at the Fermi level: 2.40 states/eV per cell
* magnetization: 2.23 μB per formula unit
* space group: No. 119

abc: 5.407 5.407 5.407
angles: 134.46 134.46 66.36
Fractional positions:
Cr  0.500  0.500  0.000
Mo  0.750  0.250  0.500
Tl  0.000  0.000  0.000
Tl  0.250  0.750  0.500



| no. | E_tot (eV per atom) |
| --- | --- |
| 1 | -5.2709 |
| 2 | -5.4851 |